PBEsol Tl2SbPb, relaxed; SG = No. 166; E_tot = -3.4031 eV per atom; ΔE_f (raw) = 0.051 eV per atom; Fermi-level density of states = 1.93 states/eV/f.u.; distance to the lowest polymorph of the same formula = 0.19 eV per formula unit
1.0
1.703 0.983 11.231
-1.703 0.983 11.231
0.000 -1.967 11.231
Tl Sb Pb
2 1 1
Cartesian
0.000 0.000 8.355
0.000 0.000 25.337
0.000 0.000 16.846
0.000 0.000 0.000